FeTcAu2: optimized geometry, GGA-PBE. Values from VASP.

## Properties
DOS at the Fermi energy = 4.8 states/eV/cell
Calculated density = 14.50 g/cm³
Distance to the lowest polymorph of the same formula = 144 meV per atom

Structure (Quantum ESPRESSO input):
```
&SYSTEM
  ibrav = 0, nat = 4, ntyp = 3
/
ATOMIC_SPECIES
Fe 55.84 Fe.upf
Tc 98.00 Tc.upf
Au 196.97 Au.upf
ATOMIC_POSITIONS crystal
Fe 0.000 0.000 0.000
Tc 0.000 0.000 0.500
Au 0.500 0.500 0.241
Au 0.500 0.500 0.759
CELL_PARAMETERS angstrom
2.747 0.000 0.000
0.000 2.747 0.000
0.000 0.000 8.316
```